The following is a PBE calculation of a geometry-optimized CuAg2Os structure, from the Alexandria database.

Computed properties:
SG	R-3m (166)
ΔE to the lowest computed polymorph	91	meV/atom
electronic total energy	-19.325	eV for the cell shown
energy of formation	0.4258	eV/atom

Cell lengths 9.5198, 9.5198, 9.5198 Å; angles 16.64, 16.64, 16.64 degrees
Closest atoms and distances in Å follow each position.
Fractional positions:
Ag (0.9968, 0.9968, 0.9968)  6 Ag 2.75, 3 Cu 2.76, 3 Os 2.91
Ag (0.5032, 0.5032, 0.5032)  6 Ag 2.75, 3 Cu 2.76, 3 Os 2.91
Cu (0.2500, 0.2500, 0.2500)  6 Cu 2.75, 6 Ag 2.76
Os (0.7500, 0.7500, 0.7500)  6 Os 2.75, 6 Ag 2.91



The following is a PBE calculation of a geometry-optimized CuAg2Os structure, from the Alexandria database.

Computed properties:
SG	Cm (8)
ΔE to the lowest computed polymorph	192	meV/atom
electronic total energy	-18.922	eV for the cell shown
energy of formation	0.5267	eV/atom

Cell lengths 4.8876, 4.8876, 5.0660 Å; angles 80.67, 80.67, 31.45 degrees
Closest atoms and distances in Å follow each position.
Fractional positions:
Cu (0.4952, 0.4952, 0.5269)  2 Cu 2.65, 3 Os 2.65-2.82, 5 Ag 2.75-2.96
Ag (0.0033, 0.0033, 0.0001)  5 Ag 2.65-2.87, 2 Cu 2.75, 3 Os 2.87-2.89
Ag (0.2444, 0.2444, 0.2454)  5 Ag 2.65-2.87, 4 Os 2.80-2.92, 3 Cu 2.86-2.96
Os (0.7570, 0.7570, 0.7276)  2 Os 2.65, 3 Cu 2.65-2.82, 7 Ag 2.80-2.92